# 1
# Ti3Ge3Pd

A geometry-optimized Ti3Ge3Pd structure (GGA-PBE, the Alexandria database).

- Formation energy: -0.41 eV per atom
- Crystal system: hexagonal
- E_tot: -91.2 eV/cell

Cell: 7.3129 7.3129 4.9722 Å, 90.00 90.00 120.00°
Last column: nearest neighbours and their distance in Å.
Space group P6_3/m (No. 176)
Inequivalent atoms, fractional coordinates:
Ti: 0.0894 0.4436 0.2500 (multiplicity 6)  5 Ge 2.59-2.78, 1 Pd 2.78
Ge: 0.0557 0.2703 0.7500 (multiplicity 6)  1 Pd 2.58, 5 Ti 2.59-2.78
Pd: 0.3333 0.6667 0.7500 (multiplicity 2)  3 Ge 2.58, 3 Ti 2.78

=====

# 2
# Ca2MgPd3

A geometry-optimized Ca2MgPd3 structure (GGA-PBE, the Alexandria database).

- Formation energy: -0.45 eV per atom
- Crystal system: orthorhombic
- Polymorph energy (0 for the lowest one): 5.72 kcal/mol of atoms
- E_tot: -47.8 eV/cell

Cell: 4.7262 5.5791 9.9765 Å, 90.00 90.00 90.00°
Last column: nearest neighbours and their distance in Å.
Space group Immm (No. 71)
Inequivalent atoms, fractional coordinates:
Ca: 0.0000 0.0000 0.1769 (multiplicity 4)  6 Pd 2.82-3.01
Mg: 0.0000 0.0000 0.5000 (multiplicity 2)  6 Pd 2.73-2.79
Pd: 0.0000 0.5000 0.1366 (multiplicity 4)  1 Pd 2.73, 2 Mg 2.73, 4 Ca 2.82-3.01
Pd: 0.0000 0.5000 0.5000 (multiplicity 2)  2 Mg 2.79, 4 Ca 2.95